# 1
First-principles (PBE) data for crystalline Dy8GaCo2 at its relaxed geometry, as listed in the Alexandria database.

```
data_Dy8GaCo2
_chemical_formula_sum 'Dy16 Ga2 Co4'
_symmetry_space_group_name_H-M 'C 1 2/m 1'
_symmetry_Int_Tables_number 12
_cell_length_a 8.5223
_cell_length_b 12.9645
_cell_length_c 5.3219
_cell_angle_alpha 90.00
_cell_angle_beta 104.23
_cell_angle_gamma 90.00
loop_
_symmetry_equiv_pos_as_xyz
'x,y,z'
'-x,-y,-z'
'-x,y,-z'
'x,-y,z'
'x+1/2,y+1/2,z'
'-x+1/2,-y+1/2,-z'
'-x+1/2,y+1/2,-z'
'x+1/2,-y+1/2,z'
loop_
_atom_site_label
_atom_site_fract_x
_atom_site_fract_y
_atom_site_fract_z
_atom_site_occupancy
Dy1 0.0000 0.2433 0.0000 1
Dy2 0.1186 0.5000 0.8054 1
Dy3 0.1996 0.1302 0.5766 1
Ga1 0.0000 0.0000 0.0000 1
Co1 0.0000 0.3058 0.5000 1
```

Values from the calculation:
* DFT total energy: -110.65 eV for the cell shown


# 2
First-principles (PBE) data for crystalline Dy2Ga3Co at its relaxed geometry, as listed in the Alexandria database.

```
data_Dy2Ga3Co
_chemical_formula_sum 'Dy2 Ga3 Co1'
_symmetry_space_group_name_H-M 'P m m 2'
_symmetry_Int_Tables_number 25
_cell_length_a 3.6354
_cell_length_b 4.2892
_cell_length_c 7.5434
_cell_angle_alpha 90.00
_cell_angle_beta 90.00
_cell_angle_gamma 90.00
loop_
_symmetry_equiv_pos_as_xyz
'x,y,z'
'-x,-y,z'
'-x,y,z'
'x,-y,z'
loop_
_atom_site_label
_atom_site_fract_x
_atom_site_fract_y
_atom_site_fract_z
_atom_site_occupancy
Dy1 0.0000 0.0000 0.0000 1
Dy2 0.0000 0.5000 0.4580 1
Ga1 0.5000 0.0000 0.6276 1
Ga2 0.5000 0.5000 0.1496 1
Ga3 0.5000 0.5000 0.8095 1
Co1 0.5000 0.0000 0.3014 1
```

Values from the calculation:
* DFT total energy: -28.70 eV for the cell shown


Fermi-level density of states for every record listed, in sequence, given in states/eV/cell: 24.61 4.46.
Total magnetic moment for every record listed, in sequence, given in μB per cell: 0.0 0.4.
ΔH_f (0 K) for every record listed, in sequence, given in eV per atom: -0.116 -0.552.